1.
# GGA-PBE Y4GeBiC, relaxed
# Energy relative to the elements (eV per atom): -0.66
data_Y4GeBiC
_chemical_formula_sum 'Y16 Ge4 Bi4 C4'
_cell_length_a 6.7680
_cell_length_b 15.5884
_cell_length_c 6.7807
_cell_angle_alpha 90.00
_cell_angle_beta 90.00
_cell_angle_gamma 90.00
_symmetry_space_group_name_H-M 'C m c m'
_symmetry_Int_Tables_number 63
_symmetry_space_group_name_Hall '-C 2c 2'
loop_
_atom_site_label
_atom_site_fract_x
_atom_site_fract_y
_atom_site_fract_z
Y1 0.0000 0.0836 0.2500
Y2 0.0000 0.4049 0.2500
Y3 0.2500 0.2500 0.0000
Ge1 0.0000 0.1138 0.7500
Bi1 0.0000 0.3957 0.7500
C1 0.0000 0.2460 0.2500

---

2.
# GGA-PBE Y2ThSc, relaxed
# Energy relative to the elements (eV per atom): 0.06
# ΔE to the lowest computed polymorph (kJ/mol of formula units): 10.3
data_Y2ThSc
_chemical_formula_sum 'Y6 Th3 Sc3'
_cell_length_a 3.5268
_cell_length_b 3.5268
_cell_length_c 33.9213
_cell_angle_alpha 90.00
_cell_angle_beta 90.00
_cell_angle_gamma 120.00
_symmetry_space_group_name_H-M 'R -3 m'
_symmetry_Int_Tables_number 166
_symmetry_space_group_name_Hall '-R 3 2"'
loop_
_atom_site_label
_atom_site_fract_x
_atom_site_fract_y
_atom_site_fract_z
Y1 0.0000 0.0000 0.2483
Th1 0.0000 0.0000 0.0000
Sc1 0.0000 0.0000 0.5000

---

3.
# GGA-PBE KLaRu2, relaxed
# Energy relative to the elements (eV per atom): 0.79
# ΔE to the lowest computed polymorph (kJ/mol of formula units): 194.8
data_KLaRu2
_chemical_formula_sum 'K3 La3 Ru6'
_cell_length_a 3.3675
_cell_length_b 3.3675
_cell_length_c 28.2070
_cell_angle_alpha 90.00
_cell_angle_beta 90.00
_cell_angle_gamma 120.00
_symmetry_space_group_name_H-M 'R -3 m'
_symmetry_Int_Tables_number 166
_symmetry_space_group_name_Hall '-R 3 2"'
loop_
_atom_site_label
_atom_site_fract_x
_atom_site_fract_y
_atom_site_fract_z
K1 0.0000 0.0000 0.0000
La1 0.0000 0.0000 0.5000
Ru1 0.0000 0.0000 0.2349

---

Total energy per entry: -48.18; -26.43; -21.41 eV per formula unit